(1)
A plane-wave DFT calculation with PBE-GGA was carried out for a relaxed FeNiPt2 crystal.

Cell and atoms, written as CIF:
```
data_FeNiPt2
_chemical_formula_sum 'Fe4 Ni4 Pt8'
_cell_length_a 6.768
_cell_length_b 6.768
_cell_length_c 5.325
_cell_angle_alpha 90.00
_cell_angle_beta 90.00
_cell_angle_gamma 90.00
_space_group_name_H-M_alt 'I -4 2 d'
_space_group_IT_number 122
_space_group_name_Hall 'I -4 2bw'
loop_
_atom_site_label
_atom_site_type_symbol
_atom_site_fract_x
_atom_site_fract_y
_atom_site_fract_z
_atom_site_occupancy
Fe1 Fe 0.000 0.000 0.000 1
Ni1 Ni 0.000 0.000 0.500 1
Pt1 Pt 0.246 0.250 0.125 1
```

Results
- E_tot (eV for the cell shown) = -101.4
- formation enthalpy at 0 K (meV/atom) = 245.0



(2)
A plane-wave DFT calculation with PBE-GGA was carried out for a relaxed Cu2HAu crystal.

Cell and atoms, written as CIF:
```
data_Cu2HAu
_chemical_formula_sum 'Cu6 H3 Au3'
_cell_length_a 2.8230
_cell_length_b 2.8230
_cell_length_c 19.6494
_cell_angle_alpha 90.00
_cell_angle_beta 90.00
_cell_angle_gamma 120.00
_space_group_name_H-M_alt 'R -3 m'
_space_group_IT_number 166
_space_group_name_Hall '-R 3 2"'
loop_
_atom_site_label
_atom_site_type_symbol
_atom_site_fract_x
_atom_site_fract_y
_atom_site_fract_z
_atom_site_occupancy
Cu1 Cu 0.0000 0.0000 0.2197 1
H1 H 0.0000 0.0000 0.5000 1
Au1 Au 0.0000 0.0000 0.0000 1
```

Results
- E_tot (eV for the cell shown) = -43.4



(3)
A plane-wave DFT calculation with PBE-GGA was carried out for a relaxed CoHRh crystal.

Cell and atoms, written as CIF:
```
data_CoHRh
_chemical_formula_sum 'Co4 H4 Rh4'
_cell_length_a 4.346
_cell_length_b 5.392
_cell_length_c 4.739
_cell_angle_alpha 90.00
_cell_angle_beta 90.03
_cell_angle_gamma 90.00
_space_group_name_H-M_alt 'P 1 21/c 1'
_space_group_IT_number 14
loop_
_space_group_symop_operation_xyz
'x,y,z'
'-x,-y,-z'
'-x,y+1/2,-z+1/2'
'x,-y+1/2,z+1/2'
loop_
_atom_site_label
_atom_site_type_symbol
_atom_site_fract_x
_atom_site_fract_y
_atom_site_fract_z
_atom_site_occupancy
Co1 Co 0.239 0.125 0.419 1
H1 H 0.491 0.126 0.740 1
Rh1 Rh 0.242 0.625 0.407 1
```

Results
- E_tot (eV for the cell shown) = -70.8



(4)
A plane-wave DFT calculation with PBE-GGA was carried out for a relaxed YTeS crystal.

Cell and atoms, written as CIF:
```
data_YTeS
_chemical_formula_sum 'Y4 Te4 S4'
_cell_length_a 4.157
_cell_length_b 5.666
_cell_length_c 13.579
_cell_angle_alpha 90.00
_cell_angle_beta 90.00
_cell_angle_gamma 90.00
_space_group_name_H-M_alt 'I m m m'
_space_group_IT_number 71
_space_group_name_Hall '-I 2 2'
loop_
_atom_site_label
_atom_site_type_symbol
_atom_site_fract_x
_atom_site_fract_y
_atom_site_fract_z
_atom_site_occupancy
Y1 Y 0.000 0.000 0.161 1
Te1 Te 0.000 0.247 0.500 1
S1 S 0.000 0.500 0.214 1
```

Results
- E_tot (eV for the cell shown) = -73.0
- formation energy without anion corrections (meV per atom) = -1508



(5)
A plane-wave DFT calculation with PBE-GGA was carried out for a relaxed K6IO2 crystal.

Cell and atoms, written as CIF:
```
data_K6IO2
_chemical_formula_sum 'K12 I2 O4'
_cell_length_a 16.046
_cell_length_b 5.263
_cell_length_c 10.246
_cell_angle_alpha 90.00
_cell_angle_beta 102.26
_cell_angle_gamma 90.00
_space_group_name_H-M_alt 'C 1 2/m 1'
_space_group_IT_number 12
loop_
_space_group_symop_operation_xyz
'x,y,z'
'-x,-y,-z'
'-x,y,-z'
'x,-y,z'
'x+1/2,y+1/2,z'
'-x+1/2,-y+1/2,-z'
'-x+1/2,y+1/2,-z'
'x+1/2,-y+1/2,z'
loop_
_atom_site_label
_atom_site_type_symbol
_atom_site_fract_x
_atom_site_fract_y
_atom_site_fract_z
_atom_site_occupancy
K1 K 0.092 0.000 0.200 1
K2 K 0.140 0.500 0.661 1
K3 K 0.235 0.500 0.086 1
I1 I 0.000 0.000 0.500 1
O1 O 0.235 0.000 0.158 1
```

Results
- E_tot (eV for the cell shown) = -53.3
- formation energy without anion corrections (meV per atom) = -957



(6)
A plane-wave DFT calculation with PBE-GGA was carried out for a relaxed YZnTe2 crystal.

Cell and atoms, written as CIF:
```
data_YZnTe2
_chemical_formula_sum 'Y1 Zn1 Te2'
_cell_length_a 3.973
_cell_length_b 3.978
_cell_length_c 6.622
_cell_angle_alpha 90.00
_cell_angle_beta 90.13
_cell_angle_gamma 90.00
_space_group_name_H-M_alt 'P 1 2/m 1'
_space_group_IT_number 10
loop_
_space_group_symop_operation_xyz
'x,y,z'
'-x,-y,-z'
'-x,y,-z'
'x,-y,z'
loop_
_atom_site_label
_atom_site_type_symbol
_atom_site_fract_x
_atom_site_fract_y
_atom_site_fract_z
_atom_site_occupancy
Y1 Y 0.000 0.000 0.000 1
Zn1 Zn 0.000 0.000 0.500 1
Te1 Te 0.499 0.500 0.757 1
```

Results
- E_tot (eV for the cell shown) = -16.7
- formation energy without anion corrections (meV per atom) = -667